Material: YNi2Pt2
Method: DFT, PBE
State: relaxed

## Properties
For the energy above the most stable polymorph in this dataset, the calculation gives 46 meV per atom. Its density of states at the Fermi level is 12.32 states/eV per cell. The electronic total energy comes out at -6.47 eV per atom. The calculated density is 12.53 g/cm³. The symmetry is P4/mbm.

Lattice parameters (Å, degrees): 7.005 7.005 3.222 90.00 90.00 90.00
Element x y z (fractional)
Y  0.000  0.000  0.000
Y  0.500  0.500  0.000
Ni  0.127  0.373  0.000
Ni  0.373  0.873  0.000
Ni  0.627  0.127  0.000
Ni  0.873  0.627  0.000
Pt  0.167  0.667  0.500
Pt  0.333  0.167  0.500
Pt  0.667  0.833  0.500
Pt  0.833  0.333  0.500